# 1
The following is a PBE calculation of a relaxed CaCrAsBr2 crystal, from the Alexandria database.

Distance to the lowest polymorph of the same formula in eV per atom: 0.514
Raw formation energy in meV/atom: -41
Total magnetization in μB/f.u.: 2.99
N(E_F) in states/eV per cell: 3.15
Crystal system: tetragonal

abc: 5.4681 5.4681 5.9033
angles: 90.00 90.00 90.00
Closest atoms and distances in Å follow each position.
Space group P4/mmm (No. 123)
Inequivalent atoms, fractional coordinates:
Ca (0.0000, 0.0000, 0.0000)  4 Br 2.73, 2 As 2.95
Cr (0.5000, 0.5000, 0.5000)  4 As 3.87, 8 Br 4.02
As (0.0000, 0.0000, 0.5000)  2 Ca 2.95
Br (0.0000, 0.5000, 0.0000)  2 Ca 2.73

# 2
The following is a PBE calculation of a relaxed CaCrAs2Br crystal, from the Alexandria database.

Distance to the lowest polymorph of the same formula in eV per atom: 0.000
Raw formation energy in meV/atom: -321
Total magnetization in μB/f.u.: 0.00
N(E_F) in states/eV per cell: 5.04
Crystal system: tetragonal

abc: 4.6041 4.6041 5.5295
angles: 90.00 90.00 90.00
Closest atoms and distances in Å follow each position.
Space group P4/mmm (No. 123)
Inequivalent atoms, fractional coordinates:
Ca (0.0000, 0.0000, 0.0000)  4 Br 3.26, 8 As 3.60
Cr (0.5000, 0.5000, 0.5000)  4 As 2.30
As (0.0000, 0.5000, 0.5000)  2 Cr 2.30
Br (0.5000, 0.5000, 0.0000)  2 Cr 2.76